Run 1
Below is GdHo after structural relaxation, with properties calculated at the PBE-GGA level.

abc: 3.6085 5.7440 6.2615
angles: 90.00 90.02 90.00
Last column: nearest neighbours and their distance in Å.
Fractional positions:
1 Ho 0.0001 0.7500 0.3360  4 Ho 3.53-3.61, 8 Gd 3.55-3.64
2 Ho 0.9999 0.2500 0.6640  4 Ho 3.53-3.61, 8 Gd 3.55-3.64
3 Gd 0.5000 0.2500 0.1693  8 Ho 3.55-3.64, 4 Gd 3.57-3.61
4 Gd 0.5000 0.7500 0.8307  8 Ho 3.55-3.64, 4 Gd 3.57-3.61

The crystal system is orthorhombic.

Run 2
Below is GdHo after structural relaxation, with properties calculated at the PBE-GGA level.

abc: 3.9988 3.9988 3.9988
angles: 90.00 90.00 90.00
Last column: nearest neighbours and their distance in Å.
Fractional positions:
1 Gd 0.0000 0.0000 0.0000  8 Ho 3.46
2 Ho 0.5000 0.5000 0.5000  8 Gd 3.46

The crystal system is cubic.

Which of them is most stable, and which least? Most stable: run 1; least stable: run 2.

Run 1
Below is GdHo2In after structural relaxation, with properties calculated at the PBE-GGA level.

abc: 5.4305 5.4305 5.4305
angles: 60.00 60.00 60.00
Last column: nearest neighbours and their distance in Å.
Fractional positions:
1 Ho 0.2500 0.2500 0.2500  4 Gd 3.33, 4 In 3.33
2 Ho 0.7500 0.7500 0.7500  4 Gd 3.33, 4 In 3.33
3 Gd 0.0000 0.0000 0.0000  8 Ho 3.33
4 In 0.5000 0.5000 0.5000  8 Ho 3.33

The crystal system is cubic.

Run 2
Below is GdHo2In after structural relaxation, with properties calculated at the PBE-GGA level.

abc: 3.5762 3.5762 9.1609
angles: 90.00 90.00 90.00
Last column: nearest neighbours and their distance in Å.
Fractional positions:
1 Ho 0.0000 0.0000 0.7746  4 In 3.26, 4 Gd 3.57, 4 Ho 3.58
2 Ho 0.0000 0.0000 0.2254  4 In 3.26, 4 Gd 3.57, 4 Ho 3.58
3 In 0.5000 0.5000 0.0000  8 Ho 3.26, 4 In 3.58
4 Gd 0.5000 0.5000 0.5000  8 Ho 3.57, 4 Gd 3.58

The crystal system is tetragonal.

Run 3
Below is GdHo2In after structural relaxation, with properties calculated at the PBE-GGA level.

abc: 4.8084 4.8543 4.8543
angles: 90.00 90.00 90.00
Last column: nearest neighbours and their distance in Å.
Fractional positions:
1 In 0.5000 0.0000 0.0000  8 Ho 3.42, 4 Gd 3.43
2 Ho 0.0000 0.0000 0.5000  4 Gd 3.42, 4 In 3.42, 4 Ho 3.43
3 Ho 0.0000 0.5000 0.0000  4 Gd 3.42, 4 In 3.42, 4 Ho 3.43
4 Gd 0.5000 0.5000 0.5000  8 Ho 3.42, 4 In 3.43

The crystal system is tetragonal.

Which of them is most stable, and which least? Most stable: run 3; least stable: run 1.

Run 1
Below is Gd2HoIn after structural relaxation, with properties calculated at the PBE-GGA level.

abc: 4.9023 4.8367 4.8367
angles: 90.00 90.00 90.00
Last column: nearest neighbours and their distance in Å.
Fractional positions:
1 Gd 0.0000 0.0000 0.5000  4 Gd 3.42, 4 In 3.44, 4 Ho 3.44
2 Gd 0.0000 0.5000 0.0000  4 Gd 3.42, 4 In 3.44, 4 Ho 3.44
3 In 0.5000 0.0000 0.0000  4 Ho 3.42, 8 Gd 3.44
4 Ho 0.5000 0.5000 0.5000  4 In 3.42, 8 Gd 3.44

The crystal system is tetragonal.

Run 2
Below is Gd2HoIn after structural relaxation, with properties calculated at the PBE-GGA level.

abc: 5.4657 5.4657 5.4657
angles: 60.00 60.00 60.00
Last column: nearest neighbours and their distance in Å.
Fractional positions:
1 Ho 0.0000 0.0000 0.0000  8 Gd 3.35
2 Gd 0.7500 0.7500 0.7500  4 Ho 3.35, 4 In 3.35
3 Gd 0.2500 0.2500 0.2500  4 In 3.35, 4 Ho 3.35
4 In 0.5000 0.5000 0.5000  8 Gd 3.35

The crystal system is cubic.

Run 3
Below is Gd2HoIn after structural relaxation, with properties calculated at the PBE-GGA level.

abc: 3.5056 3.5056 12.2651
angles: 81.78 81.78 60.00
Last column: nearest neighbours and their distance in Å.
Fractional positions:
1 Gd 0.0885 0.0885 0.7344  1 In 3.21, 3 Ho 3.48, 6 Gd 3.51
2 Gd 0.9115 0.9115 0.2656  1 In 3.21, 3 Ho 3.48, 6 Gd 3.51
3 In 0.0000 0.0000 0.0000  2 Gd 3.21, 6 In 3.51
4 Ho 0.5000 0.5000 0.5000  6 Gd 3.48, 6 Ho 3.51

The crystal system is trigonal.

Run 4
Below is Gd2HoIn after structural relaxation, with properties calculated at the PBE-GGA level.

abc: 3.5879 3.5879 9.2845
angles: 90.00 90.00 90.00
Last column: nearest neighbours and their distance in Å.
Fractional positions:
1 Gd 0.0000 0.0000 0.2292  4 In 3.31, 4 Ho 3.57, 4 Gd 3.59
2 Gd 0.0000 0.0000 0.7708  4 In 3.31, 4 Ho 3.57, 4 Gd 3.59
3 In 0.5000 0.5000 0.0000  8 Gd 3.31, 4 In 3.59
4 Ho 0.5000 0.5000 0.5000  8 Gd 3.57, 4 Ho 3.59

The crystal system is tetragonal.

Which of them is most stable, and which least? Most stable: run 1; least stable: run 3.

Run 1
Below is GdHo2Ir after structural relaxation, with properties calculated at the PBE-GGA level.

abc: 3.4790 3.4790 8.7695
angles: 90.00 90.00 90.00
Last column: nearest neighbours and their distance in Å.
Fractional positions:
1 Ho 0.0000 0.0000 0.1844  4 Ir 2.94, 1 Ho 3.23
2 Ho 0.0000 0.0000 0.8156  4 Ir 2.94, 1 Ho 3.23
3 Gd 0.5000 0.5000 0.5000  4 Gd 3.48, 8 Ho 3.70
4 Ir 0.5000 0.5000 0.0000  8 Ho 2.94

The crystal system is tetragonal.

Run 2
Below is GdHo2Ir after structural relaxation, with properties calculated at the PBE-GGA level.

abc: 3.8951 3.8951 9.4595
angles: 78.12 78.12 60.00
Last column: nearest neighbours and their distance in Å.
Fractional positions:
1 Ir 0.0000 0.0000 0.0000  6 Ho 2.74
2 Ho 0.2765 0.2765 0.1705  3 Ir 2.74
3 Ho 0.7235 0.7235 0.8295  3 Ir 2.74
4 Gd 0.5000 0.5000 0.5000  6 Ho 3.77, 6 Gd 3.90

The crystal system is trigonal.

Which of them is most stable, and which least? Most stable: run 1; least stable: run 2.

Run 1
Below is Gd2HoIr after structural relaxation, with properties calculated at the PBE-GGA level.

abc: 3.5452 3.5452 8.6164
angles: 90.00 90.00 90.00
Last column: nearest neighbours and their distance in Å.
Fractional positions:
1 Gd 0.0000 0.0000 0.8124  4 Ir 2.98, 1 Gd 3.23
2 Gd 0.0000 0.0000 0.1876  4 Ir 2.98, 1 Gd 3.23
3 Ir 0.5000 0.5000 0.0000  8 Gd 2.98
4 Ho 0.5000 0.5000 0.5000  4 Ho 3.55, 8 Gd 3.68

The crystal system is tetragonal.

Run 2
Below is Gd2HoIr after structural relaxation, with properties calculated at the PBE-GGA level.

abc: 3.8635 3.8635 9.6180
angles: 78.41 78.41 60.00
Last column: nearest neighbours and their distance in Å.
Fractional positions:
1 Ir 0.0000 0.0000 0.0000  6 Gd 2.78
2 Gd 0.7256 0.7256 0.8231  3 Ir 2.78
3 Gd 0.2744 0.2744 0.1769  3 Ir 2.78
4 Ho 0.5000 0.5000 0.5000  6 Gd 3.76, 6 Ho 3.86

The crystal system is trigonal.

Which of them is most stable, and which least? Most stable: run 1; least stable: run 2.

Run 1
Below is LaGdHo after structural relaxation, with properties calculated at the PBE-GGA level.

abc: 3.5107 5.7312 5.7312
angles: 120.00 90.00 90.00
Last column: nearest neighbours and their distance in Å.
Fractional positions:
1 Ho 0.1670 0.3333 0.6667  3 La 3.31, 2 Ho 3.51
2 Gd 0.6668 0.6667 0.3333  2 Gd 3.51, 6 La 3.74-3.75, 6 Ho 3.75
3 La 0.1662 0.0000 0.0000  3 Ho 3.31, 2 La 3.51

The crystal system is hexagonal.

Run 2
Below is LaGdHo after structural relaxation, with properties calculated at the PBE-GGA level.

abc: 3.6514 3.6514 7.9955
angles: 103.20 103.20 90.00
Last column: nearest neighbours and their distance in Å.
Fractional positions:
1 Ho 0.6151 0.6151 0.2303  4 Gd 3.56, 4 La 3.61, 4 Ho 3.65
2 Gd 0.9532 0.9532 0.9065  4 Ho 3.56, 4 Gd 3.65, 4 La 3.66
3 La 0.2816 0.2816 0.5632  4 Ho 3.61, 4 La 3.65, 4 Gd 3.66

The crystal system is tetragonal.

Which of them is most stable, and which least? Most stable: run 2; least stable: run 1.

Run 1
Below is LaGdHo2 after structural relaxation, with properties calculated at the PBE-GGA level.

abc: 5.7332 5.7332 5.7332
angles: 60.00 60.00 60.00
Last column: nearest neighbours and their distance in Å.
Fractional positions:
1 Ho 0.2500 0.2500 0.2500  4 Gd 3.51, 4 La 3.51
2 Ho 0.7500 0.7500 0.7500  4 Gd 3.51, 4 La 3.51
3 La 0.5000 0.5000 0.5000  8 Ho 3.51
4 Gd 0.0000 0.0000 0.0000  8 Ho 3.51

The crystal system is cubic.

Run 2
Below is LaGdHo2 after structural relaxation, with properties calculated at the PBE-GGA level.

abc: 5.0382 5.1093 5.1093
angles: 90.00 90.00 90.00
Last column: nearest neighbours and their distance in Å.
Fractional positions:
1 Gd 0.5000 0.5000 0.5000  8 Ho 3.59, 4 La 3.61
2 Ho 0.0000 0.5000 0.0000  4 La 3.59, 4 Gd 3.59, 4 Ho 3.61
3 Ho 0.0000 0.0000 0.5000  4 La 3.59, 4 Gd 3.59, 4 Ho 3.61
4 La 0.5000 0.0000 0.0000  8 Ho 3.59, 4 Gd 3.61

The crystal system is tetragonal.

Which of them is most stable, and which least? Most stable: run 2; least stable: run 1.

Run 1
Below is LiGd2Ho after structural relaxation, with properties calculated at the PBE-GGA level.

abc: 3.4707 3.4707 12.2750
angles: 81.87 81.87 60.00
Last column: nearest neighbours and their distance in Å.
Fractional positions:
1 Li 0.0000 0.0000 0.0000  2 Gd 3.22, 6 Li 3.47
2 Gd 0.0887 0.0887 0.7339  1 Li 3.22, 3 Ho 3.47, 6 Gd 3.47
3 Gd 0.9113 0.9113 0.2661  1 Li 3.22, 3 Ho 3.47, 6 Gd 3.47
4 Ho 0.5000 0.5000 0.5000  6 Gd 3.47, 6 Ho 3.47

The crystal system is trigonal.

Run 2
Below is LiGd2Ho after structural relaxation, with properties calculated at the PBE-GGA level.

abc: 3.6304 3.6304 8.7966
angles: 90.00 90.00 90.00
Last column: nearest neighbours and their distance in Å.
Fractional positions:
1 Gd 0.0000 0.0000 0.2255  4 Li 3.24, 4 Ho 3.52, 4 Gd 3.63
2 Gd 0.0000 0.0000 0.7745  4 Li 3.24, 4 Ho 3.52, 4 Gd 3.63
3 Li 0.5000 0.5000 0.0000  8 Gd 3.24, 4 Li 3.63
4 Ho 0.5000 0.5000 0.5000  8 Gd 3.52, 4 Ho 3.63

The crystal system is tetragonal.

Which of them is most stable, and which least? Most stable: run 2; least stable: run 1.

Run 1
Below is GdHo2Lu after structural relaxation, with properties calculated at the PBE-GGA level.

abc: 3.5151 3.5151 9.9938
angles: 90.00 90.00 90.00
Last column: nearest neighbours and their distance in Å.
Fractional positions:
1 Gd 0.5000 0.5000 0.5000  4 Gd 3.52, 8 Ho 3.56
2 Ho 0.0000 0.0000 0.7547  4 Lu 3.49, 4 Ho 3.52, 4 Gd 3.56
3 Ho 0.0000 0.0000 0.2453  4 Lu 3.49, 4 Ho 3.52, 4 Gd 3.56
4 Lu 0.5000 0.5000 0.0000  8 Ho 3.49, 4 Lu 3.52

The crystal system is tetragonal.

Run 2
Below is GdHo2Lu after structural relaxation, with properties calculated at the PBE-GGA level.

abc: 5.6211 5.6211 5.6211
angles: 60.00 60.00 60.00
Last column: nearest neighbours and their distance in Å.
Fractional positions:
1 Lu 0.5000 0.5000 0.5000  8 Ho 3.44
2 Ho 0.7500 0.7500 0.7500  4 Lu 3.44, 4 Gd 3.44
3 Ho 0.2500 0.2500 0.2500  4 Gd 3.44, 4 Lu 3.44
4 Gd 0.0000 0.0000 0.0000  8 Ho 3.44

The crystal system is cubic.

Which of them is most stable, and which least? Most stable: run 1; least stable: run 2.

Run 1
Below is GdHoMg after structural relaxation, with properties calculated at the PBE-GGA level.

abc: 3.3731 5.4481 5.4481
angles: 120.00 90.00 90.00
Last column: nearest neighbours and their distance in Å.
Fractional positions:
1 Ho 0.9547 0.0000 0.0000  3 Mg 3.29, 2 Ho 3.37, 3 Gd 3.45
2 Gd 0.3729 0.3333 0.6667  3 Mg 3.30, 2 Gd 3.37, 3 Ho 3.45
3 Mg 0.6725 0.6667 0.3333  3 Ho 3.29, 3 Gd 3.30, 2 Mg 3.37

The crystal system is trigonal.

Run 2
Below is GdHoMg after structural relaxation, with properties calculated at the PBE-GGA level.

abc: 3.6530 3.6530 7.0298
angles: 105.06 105.06 90.00
Last column: nearest neighbours and their distance in Å.
Fractional positions:
1 Gd 0.6113 0.6113 0.2226  4 Mg 3.35, 4 Ho 3.49, 4 Gd 3.65
2 Mg 0.9477 0.9477 0.8955  4 Ho 3.30, 4 Gd 3.35, 4 Mg 3.65
3 Ho 0.2910 0.2910 0.5819  4 Mg 3.30, 4 Gd 3.49, 4 Ho 3.65

The crystal system is tetragonal.

Which of them is most stable, and which least? Most stable: run 2; least stable: run 1.

Run 1
Below is Gd2HoMg after structural relaxation, with properties calculated at the PBE-GGA level.

abc: 4.8645 4.9694 4.9694
angles: 90.00 90.00 90.00
Last column: nearest neighbours and their distance in Å.
Fractional positions:
1 Ho 0.5000 0.5000 0.5000  8 Gd 3.48, 4 Mg 3.51
2 Gd 0.0000 0.0000 0.5000  4 Ho 3.48, 4 Mg 3.48, 4 Gd 3.51
3 Gd 0.0000 0.5000 0.0000  4 Ho 3.48, 4 Mg 3.48, 4 Gd 3.51
4 Mg 0.5000 0.0000 0.0000  8 Gd 3.48, 4 Ho 3.51

The crystal system is tetragonal.

Run 2
Below is Gd2HoMg after structural relaxation, with properties calculated at the PBE-GGA level.

abc: 5.5097 5.5097 5.5097
angles: 60.00 60.00 60.00
Last column: nearest neighbours and their distance in Å.
Fractional positions:
1 Gd 0.7500 0.7500 0.7500  4 Ho 3.37, 4 Mg 3.37
2 Gd 0.2500 0.2500 0.2500  4 Mg 3.37, 4 Ho 3.37
3 Mg 0.5000 0.5000 0.5000  8 Gd 3.37
4 Ho 0.0000 0.0000 0.0000  8 Gd 3.37

The crystal system is cubic.

Run 3
Below is Gd2HoMg after structural relaxation, with properties calculated at the PBE-GGA level.

abc: 3.5851 3.5851 9.3494
angles: 90.00 90.00 90.00
Last column: nearest neighbours and their distance in Å.
Fractional positions:
1 Gd 0.0000 0.0000 0.7632  4 Mg 3.37, 4 Ho 3.53, 4 Gd 3.59
2 Gd 0.0000 0.0000 0.2368  4 Mg 3.37, 4 Ho 3.53, 4 Gd 3.59
3 Ho 0.5000 0.5000 0.5000  8 Gd 3.53, 4 Ho 3.59
4 Mg 0.5000 0.5000 0.0000  8 Gd 3.37, 4 Mg 3.59

The crystal system is tetragonal.

Which of them is most stable, and which least? Most stable: run 3; least stable: run 2.

Run 1
Below is GdHoN after structural relaxation, with properties calculated at the PBE-GGA level.

abc: 4.2565 4.2565 4.2565
angles: 60.00 60.00 60.00
Last column: nearest neighbours and their distance in Å.
Fractional positions:
1 Ho 0.0000 0.0000 0.0000  4 N 2.61
2 Gd 0.5000 0.5000 0.5000  4 N 2.61
3 N 0.2500 0.2500 0.2500  4 Gd 2.61, 4 Ho 2.61

The crystal system is cubic.

Run 2
Below is GdHoN after structural relaxation, with properties calculated at the PBE-GGA level.

abc: 5.9885 3.5118 3.5118
angles: 120.00 90.00 90.00
Last column: nearest neighbours and their distance in Å.
Fractional positions:
1 Ho 0.1129 0.0000 0.0000  3 N 2.39
2 N 0.3244 0.3333 0.6667  3 Ho 2.39, 3 Gd 2.48
3 Gd 0.5627 0.6667 0.3333  3 N 2.48

The crystal system is trigonal.

Which of them is most stable, and which least? Most stable: run 2; least stable: run 1.